The following is a PBE calculation of a relaxed structure of LiTbDyIr, from the Alexandria database.

```
LiTbDyIr
1.0
6.965 0.000 0.000
0.000 6.965 0.000
0.000 0.000 6.965
Li Tb Dy Ir
4 4 4 4
Direct
0.000 0.000 0.000 Li
0.000 0.500 0.500 Li
0.500 0.000 0.500 Li
0.500 0.500 0.000 Li
0.250 0.250 0.250 Tb
0.250 0.750 0.750 Tb
0.750 0.250 0.750 Tb
0.750 0.750 0.250 Tb
0.250 0.250 0.750 Dy
0.250 0.750 0.250 Dy
0.750 0.250 0.250 Dy
0.750 0.750 0.750 Dy
0.000 0.000 0.500 Ir
0.000 0.500 0.000 Ir
0.500 0.000 0.000 Ir
0.500 0.500 0.500 Ir
```

The calculation puts the formation energy from the elements at -0.562 eV/atom. The density of states at the Fermi level is 11.7 states/eV/cell. As for the symmetry: F-43m (216).



The following is a PBE calculation of a relaxed structure of AcTb4Mg5, from the Alexandria database.

```
AcTb4Mg5
1.0
3.854 0.000 0.000
0.000 3.854 0.000
0.000 0.000 19.423
Ac Tb Mg
1 4 5
Direct
0.000 0.000 0.000 Ac
0.000 0.000 0.213 Tb
0.000 0.000 0.404 Tb
0.000 0.000 0.596 Tb
0.000 0.000 0.787 Tb
0.500 0.500 0.118 Mg
0.500 0.500 0.308 Mg
0.500 0.500 0.500 Mg
0.500 0.500 0.692 Mg
0.500 0.500 0.882 Mg
```

The calculation puts the formation energy from the elements at -0.078 eV/atom. The density of states at the Fermi level is 12.5 states/eV/cell. As for the symmetry: P4/mmm (123).



The following is a PBE calculation of a relaxed structure of Pm3Tl4SbS8, from the Alexandria database.

```
Pm3Tl4SbS8
1.0
4.131 2.385 7.474
-4.131 2.385 7.474
0.000 -4.770 7.474
Pm Tl Sb S
3 4 1 8
Direct
0.000 0.500 0.500 Pm
0.500 0.000 0.500 Pm
0.500 0.500 0.000 Pm
0.000 0.000 0.500 Tl
0.000 0.500 0.000 Tl
0.500 0.000 0.000 Tl
0.500 0.500 0.500 Tl
0.000 0.000 0.000 Sb
0.232 0.232 0.739 S
0.232 0.739 0.232 S
0.261 0.768 0.768 S
0.265 0.265 0.265 S
0.735 0.735 0.735 S
0.739 0.232 0.232 S
0.768 0.261 0.768 S
0.768 0.768 0.261 S
```

The uncorrected formation energy is -1178 meV per atom. As for the symmetry: R-3m (166).